A geometry-optimized SrPaOs structure. Source: OQMD via LeMat-Bulk, functional PBE-GGA.

Properties
For the theoretical density, the calculation gives 10.32 Mg/m³. The calculation puts the energy at -6.968 eV per atom. The calculation puts the magnetic moment at 0.59 μB per formula unit. The energy relative to the lowest polymorph listed for this composition is 0 meV/atom. The space group is F-43m.

Cell: 4.8742 4.8742 4.8742 Å, 60.00 60.00 60.00°
Fractional coordinates of all 3 atoms:
Os1 0.0000 0.0000 0.0000
Pa1 0.2500 0.2500 0.2500
Sr1 0.7500 0.7500 0.7500